(1)
HoLu2Ir | GGA-PBE | optimized geometry

Lattice parameters (Å, degrees): 3.3916 3.3916 8.7291 90.00 90.00 90.00
Closest atoms and distances in Å follow each position.
Sites, in units of the cell vectors:
1 Lu 0.0000 0.0000 0.1862  4 Ir 2.90
2 Lu 0.0000 0.0000 0.8138  4 Ir 2.90
3 Ir 0.5000 0.5000 0.0000  8 Lu 2.90
4 Ho 0.5000 0.5000 0.5000  4 Ho 3.39, 8 Lu 3.64

- Energy relative to the lowest polymorph listed for this composition: 0.0 meV/atom
- Size of the total moment: 0.00 μB per atom
- Symmetry: P4/mmm (123)
- Crystal system: tetragonal
- N(E_F): 4.7 states/eV per cell
- VASP energy: -6.0976 eV per atom
- Energy of formation from the pure elements: -0.477 eV per atom

=====

(2)
CaPuCu2Se4 | GGA-PBE | optimized geometry

Lattice parameters (Å, degrees): 6.9177 6.2109 6.2109 67.68 56.16 56.16
Closest atoms and distances in Å follow each position.
Sites, in units of the cell vectors:
1 Se 0.4867 0.9935 0.5133  2 Cu 2.45
2 Se 0.9935 0.0065 0.4867  2 Cu 2.45
3 Se 0.0065 0.5133 0.9935  2 Cu 2.45
4 Se 0.5133 0.4867 0.0065  2 Cu 2.45
5 Ca 0.0000 0.0000 0.0000  8 Se 3.01-3.20
6 Cu 0.2493 0.2507 0.2507  4 Se 2.45
7 Cu 0.7507 0.7493 0.7493  4 Se 2.45
8 Pu 0.5000 0.5000 0.5000  8 Se 3.05-3.17

- Energy relative to the elements, uncorrected: -6.98 eV per formula unit
- Size of the total moment: 0.63 μB per atom
- Symmetry: I222 (23)
- Crystal system: orthorhombic
- N(E_F): 10.2 states/eV per cell
- VASP energy: -5.6799 eV per atom

=====

(3)
Sr3ReSe | GGA-PBE | optimized geometry

Lattice parameters (Å, degrees): 5.6212 5.6212 5.6212 90.00 90.00 90.00
Closest atoms and distances in Å follow each position.
Sites, in units of the cell vectors:
1 Re 0.0000 0.0000 0.0000  6 Sr 2.81
2 Sr 0.0000 0.5000 0.0000  2 Re 2.81
3 Sr 0.5000 0.0000 0.0000  2 Re 2.81
4 Sr 0.0000 0.0000 0.5000  2 Re 2.81
5 Se 0.5000 0.5000 0.5000  12 Sr 3.97

- Energy relative to the elements, uncorrected: 1.62 eV per formula unit
- Energy relative to the lowest polymorph listed for this composition: 0.0 meV/atom
- Size of the total moment: 0.00 μB per atom
- Symmetry: Pm-3m (221)
- Crystal system: cubic
- N(E_F): 2.4 states/eV per cell
- VASP energy: -3.8717 eV per atom

=====

(4)
BiPb5Au4 | GGA-PBE | optimized geometry

Lattice parameters (Å, degrees): 4.7132 7.5015 10.3253 126.75 103.19 90.00
Closest atoms and distances in Å follow each position.
Sites, in units of the cell vectors:
1 Au 0.0331 0.2976 0.0662  4 Pb 2.92-3.09, 2 Bi 3.03
2 Au 0.3430 0.9692 0.6860  6 Pb 2.97-3.22, 1 Bi 3.02
3 Au 0.9669 0.7024 0.9338  4 Pb 2.92-3.09, 2 Bi 3.03
4 Au 0.6570 0.0308 0.3140  6 Pb 2.97-3.22, 1 Bi 3.02
5 Bi 0.5000 0.0000 0.0000  6 Au 3.02-3.03
6 Pb 0.5000 0.5000 0.0000  6 Au 3.09-3.22
7 Pb 0.8198 0.6945 0.6396  3 Au 2.92-2.97
8 Pb 0.1649 0.8014 0.3298  4 Au 2.98-3.00
9 Pb 0.8351 0.1986 0.6702  4 Au 2.98-3.00
10 Pb 0.1802 0.3055 0.3604  3 Au 2.92-2.97

- Size of the total moment: 0.00 μB per atom
- Symmetry: C2/m (12)
- Crystal system: monoclinic
- N(E_F): 3.5 states/eV per cell
- VASP energy: -3.5913 eV per atom
- Energy of formation from the pure elements: -0.038 eV per atom

=====

Copy entry 2 word for word.
CaPuCu2Se4 | GGA-PBE | optimized geometry

Lattice parameters (Å, degrees): 6.9177 6.2109 6.2109 67.68 56.16 56.16
Closest atoms and distances in Å follow each position.
Sites, in units of the cell vectors:
1 Se 0.4867 0.9935 0.5133  2 Cu 2.45
2 Se 0.9935 0.0065 0.4867  2 Cu 2.45
3 Se 0.0065 0.5133 0.9935  2 Cu 2.45
4 Se 0.5133 0.4867 0.0065  2 Cu 2.45
5 Ca 0.0000 0.0000 0.0000  8 Se 3.01-3.20
6 Cu 0.2493 0.2507 0.2507  4 Se 2.45
7 Cu 0.7507 0.7493 0.7493  4 Se 2.45
8 Pu 0.5000 0.5000 0.5000  8 Se 3.05-3.17

- Energy relative to the elements, uncorrected: -6.98 eV per formula unit
- Size of the total moment: 0.63 μB per atom
- Symmetry: I222 (23)
- Crystal system: orthorhombic
- N(E_F): 10.2 states/eV per cell
- VASP energy: -5.6799 eV per atom

=====

> Among the records above, which one has the lowest VASP energy?

HoLu2Ir